Entry 1:
Below is a geometry-optimized MgCu2OsPt structure, with properties calculated at the PBEsol level.

Results
Space-group type   P4/mmm (123)
Density   11.4 g/cm3
ΔH_f (0 K)   7.93 eV per formula unit
N(E_F)   0.706 states/eV/atom

Cell and atoms, written as POSCAR:
```
MgCu2OsPt
1.0
4.204 0.000 0.000
0.000 4.204 0.000
0.000 0.000 4.442
Mg Cu Os Pt
1 2 1 1
Cartesian
0.000 0.000 0.000
0.000 2.102 0.000
2.102 0.000 0.000
2.102 2.102 2.221
0.000 0.000 2.221
```

=====

Entry 2:
Below is a geometry-optimized Mg2Cu3P structure, with properties calculated at the PBEsol level.

Results
Space-group type   P6_3/mmc (194)
Density   5.5 g/cm3
ΔH_f (0 K)   -1.55 eV per formula unit
N(E_F)   0.188 states/eV/atom

Cell and atoms, written as POSCAR:
```
Mg2Cu3P
1.0
4.955 0.000 0.000
-2.478 4.291 0.000
0.000 0.000 7.681
Mg Cu P
4 6 2
Cartesian
0.000 2.861 0.482
0.000 2.861 3.358
2.478 1.430 4.322
2.478 1.430 7.199
0.000 1.452 5.761
-1.220 3.565 5.761
1.258 0.726 1.920
1.220 3.565 5.761
3.698 0.726 1.920
2.478 2.839 1.920
0.000 0.000 0.000
0.000 0.000 3.840
```

=====

Entry 3:
Below is a geometry-optimized MgCuP2 structure, with properties calculated at the PBEsol level.

Results
Space-group type   I4/mmm (139)
Density   4.3 g/cm3
ΔH_f (0 K)   0.46 eV per formula unit
N(E_F)   0.441 states/eV/atom

Cell and atoms, written as POSCAR:
```
MgCuP2
1.0
4.012 0.000 0.000
0.000 4.012 0.000
0.000 0.000 7.269
Mg Cu P
2 2 4
Cartesian
0.000 0.000 0.000
2.006 2.006 3.634
0.000 0.000 3.634
2.006 2.006 0.000
0.000 2.006 1.817
0.000 2.006 5.452
2.006 0.000 1.817
2.006 0.000 5.452
```